Material: La2MgZrTl
Method: DFT, GGA-PBE
State: relaxed

Values from the calculation:
Total energy (eV per atom): -4.05
Crystal system: tetragonal
Size of the total moment (μB per atom): 0.00
DFT formation energy (eV/atom): 0.420

Geometry as CIF:
```
data_La2MgZrTl
_chemical_formula_sum 'La2 Mg1 Zr1 Tl1'
_cell_length_a 5.6423
_cell_length_b 5.6423
_cell_length_c 5.7079
_cell_angle_alpha 90.00
_cell_angle_beta 90.00
_cell_angle_gamma 90.00
_space_group_name_H-M_alt 'P 4/m m m'
_space_group_IT_number 123
_space_group_name_Hall '-P 4 2'
loop_
_atom_site_label
_atom_site_type_symbol
_atom_site_fract_x
_atom_site_fract_y
_atom_site_fract_z
La1 La 0.0000 0.5000 0.0000
Mg1 Mg 0.0000 0.0000 0.5000
Zr1 Zr 0.5000 0.5000 0.0000
Tl1 Tl 0.5000 0.5000 0.5000
```